Entry 1:
{
  "formula": "LiNiPt2Rh",
  "functional": "SCAN",
  "state": "PBEsol geometry",
  "lattice": [[4.1194, 0.0000, 0.0000], [0.0000, 4.1194, 0.0000], [0.0000, 0.0000, 3.8679]],
  "species": ["Li", "Ni", "Pt", "Pt", "Rh"],
  "frac_coords": [[0.0000, 0.0000, 0.0000], [0.0000, 0.0000, 0.5000], [0.0000, 0.5000, 0.0000], [0.5000, 0.0000, 0.0000], [0.5000, 0.5000, 0.5000]],
  "energy_ev_per_cell": -189.76,
  "formation_enthalpy_0k_ev_per_atom": 0.592
}

Entry 2:
{
  "formula": "KMgSc2",
  "functional": "SCAN",
  "state": "PBEsol geometry",
  "lattice": [[-2.4673, 2.4673, 4.6800], [2.4673, -2.4673, 4.6800], [2.4673, 2.4673, -4.6800]],
  "species": ["K", "Mg", "Sc", "Sc"],
  "frac_coords": [[0.0000, 0.0000, 0.0000], [0.7500, 0.2500, 0.5000], [0.2500, 0.7500, 0.5000], [0.5000, 0.5000, 0.0000]],
  "energy_ev_per_cell": -39.33,
  "formation_enthalpy_0k_ev_per_atom": 0.610
}

Entry 3:
{
  "formula": "Cu3WSe",
  "functional": "SCAN",
  "state": "PBEsol geometry",
  "lattice": [[4.6336, 0.0000, 0.0000], [0.0000, 4.6336, 0.0000], [0.0000, 0.0000, 4.6336]],
  "species": ["Cu", "Cu", "Cu", "W", "Se"],
  "frac_coords": [[0.0000, 0.0000, 0.5000], [0.0000, 0.5000, 0.0000], [0.5000, 0.0000, 0.0000], [0.0000, 0.0000, 0.0000], [0.5000, 0.5000, 0.5000]],
  "energy_ev_per_cell": -126.59,
  "formation_energy_uncorrected_ev_per_atom": 1.755
}

Entry 4:
{
  "formula": "LiGaSbI2",
  "functional": "SCAN",
  "state": "PBEsol geometry",
  "lattice": [[5.4078, 0.0000, 0.0000], [0.0000, 5.4078, 0.0000], [0.0000, 0.0000, 4.9939]],
  "species": ["Li", "Ga", "Sb", "I", "I"],
  "frac_coords": [[0.0000, 0.0000, 0.0000], [0.5000, 0.5000, 0.5000], [0.0000, 0.0000, 0.5000], [0.0000, 0.5000, 0.0000], [0.5000, 0.0000, 0.0000]],
  "energy_ev_per_cell": -129.07,
  "formation_energy_uncorrected_ev_per_atom": 0.083
}

Entry 5:
{
  "formula": "LaCdSeBr2",
  "functional": "SCAN",
  "state": "PBEsol geometry",
  "lattice": [[5.7082, 0.0000, 0.0000], [0.0000, 5.7082, 0.0000], [0.0000, 0.0000, 5.8224]],
  "species": ["La", "Cd", "Se", "Br", "Br"],
  "frac_coords": [[0.0000, 0.0000, 0.0000], [0.5000, 0.5000, 0.5000], [0.0000, 0.0000, 0.5000], [0.0000, 0.5000, 0.0000], [0.5000, 0.0000, 0.0000]],
  "energy_ev_per_cell": -138.36,
  "formation_energy_uncorrected_ev_per_atom": -1.168
}

Entry 6:
{
  "formula": "Ta2OsPt",
  "functional": "SCAN",
  "state": "PBEsol geometry",
  "lattice": [[2.8983, 0.0000, 0.0000], [0.0000, 3.8277, 0.0000], [0.0000, 0.0000, 5.7150]],
  "species": ["Ta", "Ta", "Os", "Pt"],
  "frac_coords": [[0.0000, 0.0000, 0.2431], [0.0000, 0.0000, 0.7569], [0.5000, 0.5000, 0.0000], [0.5000, 0.5000, 0.5000]],
  "energy_ev_per_cell": -277.37,
  "formation_enthalpy_0k_ev_per_atom": -0.531
}

Entry 7:
{
  "formula": "CrAgP2",
  "functional": "SCAN",
  "state": "PBEsol geometry",
  "lattice": [[2.7518, 0.0000, 0.0000], [0.0000, 2.9043, 0.0000], [0.0000, 0.0000, 7.1799]],
  "species": ["Cr", "Ag", "P", "P"],
  "frac_coords": [[0.0000, 0.0000, 0.0000], [0.0000, 0.5000, 0.5000], [0.5000, 0.5000, 0.1834], [0.5000, 0.5000, 0.8166]],
  "energy_ev_per_cell": -70.42,
  "formation_enthalpy_0k_ev_per_atom": 0.032
}

Entry 8:
{
  "formula": "ReAg3Pb",
  "functional": "SCAN",
  "state": "PBEsol geometry",
  "lattice": [[5.1338, 0.0000, 0.0000], [0.0000, 5.1338, 0.0000], [0.0000, 0.0000, 5.1338]],
  "species": ["Re", "Ag", "Ag", "Ag", "Pb"],
  "frac_coords": [[0.0000, 0.0000, 0.0000], [0.0000, 0.5000, 0.5000], [0.5000, 0.0000, 0.5000], [0.5000, 0.5000, 0.0000], [0.5000, 0.5000, 0.5000]],
  "energy_ev_per_cell": -231.56,
  "formation_enthalpy_0k_ev_per_atom": 1.884
}

Entry 9:
{
  "formula": "Li11Cr3Fe3O16",
  "functional": "SCAN",
  "state": "PBEsol geometry",
  "lattice": [[4.9816, -2.8402, 0.0000], [4.9816, 2.8402, 0.0000], [-0.8884, 0.0000, 9.6810]],
  "species": ["Li", "Li", "Li", "Li", "Li", "Li", "Li", "Li", "Li", "Li", "Li", "Cr", "Cr", "Cr", "Fe", "Fe", "Fe", "O", "O", "O", "O", "O", "O", "O", "O", "O", "O", "O", "O", "O", "O", "O", "O"],
  "frac_coords": [[0.0000, 0.0000, 0.0000], [0.0838, 0.6576, 0.5559], [0.1141, 0.1141, 0.2766], [0.1297, 0.1297, 0.5253], [0.2580, 0.2580, 0.0648], [0.4643, 0.4643, 0.4731], [0.5028, 0.5028, 0.0014], [0.6576, 0.0838, 0.5559], [0.6661, 0.6661, 0.5533], [0.7615, 0.7615, 0.0488], [0.8175, 0.8175, 0.7867], [0.3190, 0.8202, 0.7764], [0.6147, 0.6147, 0.2783], [0.8202, 0.3190, 0.7764], [0.1045, 0.6246, 0.2821], [0.3184, 0.3184, 0.7778], [0.6246, 0.1045, 0.2821], [0.1617, 0.1617, 0.8845], [0.1778, 0.6522, 0.8853], [0.2953, 0.7790, 0.3914], [0.3005, 0.3005, 0.3858], [0.4327, 0.4327, 0.1793], [0.4607, 0.9314, 0.1723], [0.4606, 0.9878, 0.6665], [0.4721, 0.4721, 0.6621], [0.6480, 0.6480, 0.8808], [0.6522, 0.1778, 0.8853], [0.7790, 0.2953, 0.3914], [0.7905, 0.7905, 0.3977], [0.9286, 0.9286, 0.1729], [0.9314, 0.4607, 0.1723], [0.9840, 0.9840, 0.6660], [0.9878, 0.4606, 0.6665]],
  "energy_ev_per_cell": -304.47,
  "formation_energy_uncorrected_ev_per_atom": -2.089
}

Entry 10:
{
  "formula": "LiZn3",
  "functional": "SCAN",
  "state": "PBEsol geometry",
  "lattice": [[4.2987, 2.4819, 0.8603], [-4.2987, 2.4819, 0.8603], [0.0000, -4.9638, 0.8603]],
  "species": ["Li", "Zn", "Zn", "Zn"],
  "frac_coords": [[0.0000, 0.0000, 0.0000], [0.0000, 0.5000, 0.5000], [0.5000, 0.0000, 0.5000], [0.5000, 0.5000, 0.0000]],
  "energy_ev_per_cell": -43.45,
  "formation_enthalpy_0k_ev_per_atom": -0.128
}

Entry 11:
{
  "formula": "NbIn2AgIr",
  "functional": "SCAN",
  "state": "PBEsol geometry",
  "lattice": [[4.8093, 0.0000, 0.0000], [0.0000, 4.8093, 0.0000], [0.0000, 0.0000, 4.9081]],
  "species": ["Nb", "In", "In", "Ag", "Ir"],
  "frac_coords": [[0.0000, 0.0000, 0.0000], [0.0000, 0.5000, 0.5000], [0.5000, 0.0000, 0.5000], [0.5000, 0.5000, 0.5000], [0.5000, 0.5000, 0.0000]],
  "energy_ev_per_cell": -195.43,
  "formation_enthalpy_0k_ev_per_atom": 1.388
}

Entry 12:
{
  "formula": "BeCd2S",
  "functional": "SCAN",
  "state": "PBEsol geometry",
  "lattice": [[0.0000, 3.3218, 3.3218], [3.3218, 0.0000, 3.3218], [3.3218, 3.3218, 0.0000]],
  "species": ["Be", "Cd", "Cd", "S"],
  "frac_coords": [[0.0000, 0.0000, 0.0000], [0.2500, 0.2500, 0.2500], [0.7500, 0.7500, 0.7500], [0.5000, 0.5000, 0.5000]],
  "energy_ev_per_cell": -72.39,
  "formation_energy_uncorrected_ev_per_atom": 0.605
}

Entry 13:
{
  "formula": "LiMnAl2",
  "functional": "SCAN",
  "state": "PBEsol geometry",
  "lattice": [[1.3672, 0.7894, 8.7935], [-1.3672, 0.7894, 8.7935], [0.0000, -1.5787, 8.7935]],
  "species": ["Li", "Mn", "Al", "Al"],
  "frac_coords": [[0.0000, 0.0000, 0.0000], [0.5000, 0.5000, 0.5000], [0.2428, 0.2428, 0.2428], [0.7572, 0.7572, 0.7572]],
  "energy_ev_per_cell": -36.75,
  "formation_enthalpy_0k_ev_per_atom": -0.150
}

Entry 14:
{
  "formula": "TcAg",
  "functional": "SCAN",
  "state": "PBEsol geometry",
  "lattice": [[2.5930, 0.0000, 0.0000], [0.0000, 2.5930, 0.0000], [0.0000, 0.0000, 4.4825]],
  "species": ["Tc", "Ag"],
  "frac_coords": [[0.0000, 0.0000, 0.0000], [0.5000, 0.5000, 0.5000]],
  "energy_ev_per_cell": -65.24,
  "e_above_lowest_polymorph_kj_per_mol_fu": 65,
  "formation_enthalpy_0k_ev_per_atom": 0.595
}

Entry 15:
{
  "formula": "GaPS2I",
  "functional": "SCAN",
  "state": "PBEsol geometry",
  "lattice": [[5.1036, 0.0000, 0.0000], [0.0000, 5.1036, 0.0000], [0.0000, 0.0000, 5.0553]],
  "species": ["Ga", "P", "S", "S", "I"],
  "frac_coords": [[0.0000, 0.0000, 0.0000], [0.5000, 0.5000, 0.0000], [0.0000, 0.5000, 0.5000], [0.5000, 0.0000, 0.5000], [0.5000, 0.5000, 0.5000]],
  "energy_ev_per_cell": -77.50,
  "formation_energy_uncorrected_ev_per_atom": 1.049
}

Entry 16:
{
  "formula": "CuAgPt2",
  "functional": "SCAN",
  "state": "PBEsol geometry",
  "lattice": [[1.3761, -2.3212, 0.0000], [1.3761, 2.3212, 0.0000], [0.0000, 0.0000, 9.1875]],
  "species": ["Cu", "Ag", "Pt", "Pt"],
  "frac_coords": [[0.0000, 0.0000, 0.0000], [0.0000, 0.0000, 0.5000], [0.5000, 0.5000, 0.2347], [0.5000, 0.5000, 0.7653]],
  "energy_ev_per_cell": -187.23,
  "e_above_lowest_polymorph_kj_per_mol_fu": 20,
  "formation_enthalpy_0k_ev_per_atom": -0.070
}

Entry 17:
{
  "formula": "LaAl2Br",
  "functional": "SCAN",
  "state": "PBEsol geometry",
  "lattice": [[3.4871, 0.0000, 0.0000], [0.0000, 5.1279, 0.0000], [0.0000, 0.0000, 5.6541]],
  "species": ["La", "Al", "Al", "Br"],
  "frac_coords": [[0.0000, 0.0000, 0.0000], [0.5000, 0.5000, 0.2487], [0.5000, 0.5000, 0.7513], [0.0000, 0.0000, 0.5000]],
  "energy_ev_per_cell": -78.97,
  "e_above_lowest_polymorph_kj_per_mol_fu": 65,
  "formation_energy_uncorrected_ev_per_atom": -0.226
}

Entry 18:
{
  "formula": "Tm4CdIr",
  "functional": "SCAN",
  "state": "PBEsol geometry",
  "lattice": [[0.0000, 6.6061, 6.6061], [6.6061, 0.0000, 6.6061], [6.6061, 6.6061, 0.0000]],
  "species": ["Tm", "Tm", "Tm", "Tm", "Tm", "Tm", "Tm", "Tm", "Tm", "Tm", "Tm", "Tm", "Tm", "Tm", "Tm", "Tm", "Cd", "Cd", "Cd", "Cd", "Ir", "Ir", "Ir", "Ir"],
  "frac_coords": [[0.0596, 0.0596, 0.4404], [0.0596, 0.4404, 0.0596], [0.0596, 0.4404, 0.4404], [0.1881, 0.1881, 0.8119], [0.1881, 0.8119, 0.1881], [0.1881, 0.8119, 0.8119], [0.1996, 0.6002, 0.6002], [0.4404, 0.0596, 0.0596], [0.4404, 0.0596, 0.4404], [0.4404, 0.4404, 0.0596], [0.6002, 0.1996, 0.6002], [0.6002, 0.6002, 0.1996], [0.6002, 0.6002, 0.6002], [0.8119, 0.1881, 0.1881], [0.8119, 0.1881, 0.8119], [0.8119, 0.8119, 0.1881], [0.5071, 0.8310, 0.8310], [0.8310, 0.5071, 0.8310], [0.8310, 0.8310, 0.5071], [0.8310, 0.8310, 0.8310], [0.3920, 0.3920, 0.3920], [0.3920, 0.3920, 0.8239], [0.3920, 0.8239, 0.3920], [0.8239, 0.3920, 0.3920]],
  "energy_ev_per_cell": -1251.67,
  "formation_enthalpy_0k_ev_per_atom": -0.679
}

Entry 19:
{
  "formula": "Ni2TeAs",
  "functional": "SCAN",
  "state": "PBEsol geometry",
  "lattice": [[-1.8455, 1.8455, 4.5124], [1.8455, -1.8455, 4.5124], [1.8455, 1.8455, -4.5124]],
  "species": ["Ni", "Ni", "Te", "As"],
  "frac_coords": [[0.0000, 0.0000, 0.0000], [0.7500, 0.2500, 0.5000], [0.5000, 0.5000, 0.0000], [0.2500, 0.7500, 0.5000]],
  "energy_ev_per_cell": -88.68,
  "formation_energy_uncorrected_ev_per_atom": 0.278
}

Entry 20:
{
  "formula": "MnOsRh2",
  "functional": "SCAN",
  "state": "PBEsol geometry",
  "lattice": [[0.0000, 3.0246, 3.0246], [3.0246, 0.0000, 3.0246], [3.0246, 3.0246, 0.0000]],
  "species": ["Mn", "Os", "Rh", "Rh"],
  "frac_coords": [[0.0000, 0.0000, 0.0000], [0.5000, 0.5000, 0.5000], [0.2500, 0.2500, 0.2500], [0.7500, 0.7500, 0.7500]],
  "energy_ev_per_cell": -157.17,
  "e_above_lowest_polymorph_kj_per_mol_fu": 29,
  "formation_enthalpy_0k_ev_per_atom": 0.127
}

Entry 21:
{
  "formula": "ZnFeOs",
  "functional": "SCAN",
  "state": "PBEsol geometry",
  "lattice": [[0.0000, 2.8082, 2.8082], [2.8082, 0.0000, 2.8082], [2.8082, 2.8082, 0.0000]],
  "species": ["Zn", "Fe", "Os"],
  "frac_coords": [[0.0000, 0.0000, 0.0000], [0.5000, 0.5000, 0.5000], [0.2500, 0.2500, 0.2500]],
  "energy_ev_per_cell": -101.15,
  "formation_enthalpy_0k_ev_per_atom": 0.792
}

Entry 22:
{
  "formula": "MgCo2Ir",
  "functional": "SCAN",
  "state": "PBEsol geometry",
  "lattice": [[-1.4482, 2.0872, 4.2282], [1.4482, -2.0872, 4.2282], [1.4482, 2.0872, -4.2282]],
  "species": ["Mg", "Co", "Co", "Ir"],
  "frac_coords": [[0.0000, 0.0000, 0.0000], [0.2546, 0.7546, 0.5000], [0.7454, 0.2454, 0.5000], [0.5000, 0.5000, 0.0000]],
  "energy_ev_per_cell": -110.93,
  "formation_enthalpy_0k_ev_per_atom": -0.062
}

Entry 23:
{
  "formula": "TeSeCl",
  "functional": "SCAN",
  "state": "PBEsol geometry",
  "lattice": [[0.0000, 3.4123, 3.4123], [3.4123, 0.0000, 3.4123], [3.4123, 3.4123, 0.0000]],
  "species": ["Te", "Se", "Cl"],
  "frac_coords": [[0.0000, 0.0000, 0.0000], [0.2500, 0.2500, 0.2500], [0.5000, 0.5000, 0.5000]],
  "energy_ev_per_cell": -64.27,
  "formation_energy_uncorrected_ev_per_atom": 0.344
}

Entry 24:
{
  "formula": "TlCdPb",
  "functional": "SCAN",
  "state": "PBEsol geometry",
  "lattice": [[3.4178, 0.0000, 0.0000], [0.0114, 4.5962, 0.0000], [1.5867, 2.2325, 5.0550]],
  "species": ["Tl", "Cd", "Pb"],
  "frac_coords": [[0.0000, 0.0000, 0.0000], [0.6682, 0.6643, 0.6762], [0.3351, 0.3280, 0.3496]],
  "energy_ev_per_cell": -178.37,
  "e_above_lowest_polymorph_kj_per_mol_fu": 6,
  "formation_enthalpy_0k_ev_per_atom": 0.061
}

Entry 25:
{
  "formula": "CaCuSi2",
  "functional": "SCAN",
  "state": "PBEsol geometry",
  "lattice": [[0.0000, 3.2175, 3.2175], [3.2175, 0.0000, 3.2175], [3.2175, 3.2175, 0.0000]],
  "species": ["Ca", "Cu", "Si", "Si"],
  "frac_coords": [[0.0000, 0.0000, 0.0000], [0.7500, 0.7500, 0.7500], [0.2500, 0.2500, 0.2500], [0.5000, 0.5000, 0.5000]],
  "energy_ev_per_cell": -43.78,
  "formation_energy_uncorrected_ev_per_atom": 0.278
}

Entry 26:
{
  "formula": "Sc3TaPt",
  "functional": "SCAN",
  "state": "PBEsol geometry",
  "lattice": [[4.9237, 0.0000, 0.0000], [0.0000, 4.9237, 0.0000], [0.0000, 0.0000, 4.9237]],
  "species": ["Sc", "Sc", "Sc", "Ta", "Pt"],
  "frac_coords": [[0.0000, 0.0000, 0.5000], [0.0000, 0.5000, 0.0000], [0.5000, 0.0000, 0.0000], [0.5000, 0.5000, 0.5000], [0.0000, 0.0000, 0.0000]],
  "energy_ev_per_cell": -178.60,
  "formation_enthalpy_0k_ev_per_atom": 0.178
}

Entry 27:
{
  "formula": "SrTlPt4",
  "functional": "SCAN",
  "state": "PBEsol geometry",
  "lattice": [[0.0000, 3.8273, 3.8273], [3.8273, 0.0000, 3.8273], [3.8273, 3.8273, 0.0000]],
  "species": ["Sr", "Tl", "Pt", "Pt", "Pt", "Pt"],
  "frac_coords": [[0.0000, 0.0000, 0.0000], [0.2500, 0.2500, 0.2500], [0.1266, 0.6245, 0.6245], [0.6245, 0.1266, 0.6245], [0.6245, 0.6245, 0.1266], [0.6245, 0.6245, 0.6245]],
  "energy_ev_per_cell": -379.20,
  "formation_enthalpy_0k_ev_per_atom": -0.632
}